1.
The following is a PBE calculation of a relaxed Pr7Dy2Er2 crystal, from the Alexandria database.

Summary:
SG: C2/m, No. 12
M_tot (μB/cell): 0.0
Density (g cm⁻³): 7.161

```
data_Pr7Dy2Er2
_symmetry_space_group_name_H-M 'P 1'
_symmetry_Int_Tables_number 1
_symmetry_space_group_name_Hall 'P 1'
_cell_length_a 6.129
_cell_length_b 8.194
_cell_length_c 8.194
_cell_angle_alpha 89.17
_cell_angle_beta 74.55
_cell_angle_gamma 74.55
loop_
_atom_site_label
_atom_site_fract_x
_atom_site_fract_y
_atom_site_fract_z
Pr1 0.398 0.230 0.230
Pr2 0.000 0.000 0.000
Pr3 0.821 0.411 0.954
Pr4 0.179 0.589 0.046
Pr5 0.821 0.954 0.411
Pr6 0.179 0.046 0.589
Pr7 0.602 0.770 0.770
Dy1 0.203 0.577 0.577
Dy2 0.797 0.423 0.423
Er1 0.500 0.780 0.220
Er2 0.500 0.220 0.780
```


2.
The following is a PBE calculation of a relaxed Pr3Dy6Er crystal, from the Alexandria database.

Summary:
SG: C2/m, No. 12
M_tot (μB/cell): 0.0
Density (g cm⁻³): 7.691

```
data_Pr3Dy6Er
_symmetry_space_group_name_H-M 'P 1'
_symmetry_Int_Tables_number 1
_symmetry_space_group_name_Hall 'P 1'
_cell_length_a 6.597
_cell_length_b 9.783
_cell_length_c 6.667
_cell_angle_alpha 111.85
_cell_angle_beta 119.65
_cell_angle_gamma 90.00
loop_
_atom_site_label
_atom_site_fract_x
_atom_site_fract_y
_atom_site_fract_z
Pr1 0.000 0.000 0.000
Pr2 0.928 0.299 0.857
Pr3 0.072 0.701 0.143
Dy1 0.364 0.080 0.729
Dy2 0.931 0.314 0.371
Dy3 0.069 0.686 0.629
Dy4 0.441 0.314 0.371
Dy5 0.559 0.686 0.629
Dy6 0.636 0.920 0.271
Er1 0.500 0.500 0.000
```


Number 1: polymorph energy (0 for the lowest one) 9.8 meV/atom, D(E_F) 14.89 states/eV/cell. Number 2: polymorph energy (0 for the lowest one) 78.5 meV/atom, D(E_F) 18.40 states/eV/cell.